DFT (PBE-GGA) results for crystalline TlZnW3 at its relaxed geometry.

```
TlZnW3
1.0
4.9650 0.0000 0.0000
0.0000 4.9650 0.0000
0.0000 0.0000 4.9650
Tl Zn W
1 1 3
Direct
0.0000 0.0000 0.0000
0.5000 0.5000 0.5000
0.0000 0.0000 0.5000
0.0000 0.5000 0.0000
0.5000 0.0000 0.0000
```

Results
The calculation puts the energy at -0.1925 hartree per atom. Its symmetry is No. 221.